! IrF (GGA-PBE, relaxed); values from VASP
! - formation energy from raw total energies (eV/atom) = -0.144
! - total magnetic moment (Bohr magnetons per cell) = 0.9
! - electronic total energy (eV per atom) = -5.51
! - offset from the most stable computed form (eV per atom) = 0.439
&SYSTEM
  ibrav = 0, nat = 8, ntyp = 2
/
ATOMIC_SPECIES
Ir 192.22 Ir.upf
F 19.00 F.upf
ATOMIC_POSITIONS angstrom
Ir 2.0888 2.0801 0.0000
Ir 3.5215 -3.5128 1.3359
Ir 2.0801 9.1145 0.0000
Ir 3.5128 3.5215 1.3359
F -3.7313 5.5969 1.3359
F 9.3330 0.0048 0.0000
F 0.0048 1.8703 0.0000
F 5.5969 3.7313 1.3359
CELL_PARAMETERS angstrom
-5.6016 5.6016 1.3359
5.6016 -5.6016 1.3359
5.6016 5.6016 -1.3359

! La2BiPbCl (GGA-PBE, relaxed); values from VASP
! - formation energy from raw total energies (eV/atom) = -0.264
! - total magnetic moment (Bohr magnetons per cell) = 0.0
! - electronic total energy (eV per atom) = -4.12
&SYSTEM
  ibrav = 0, nat = 5, ntyp = 4
/
ATOMIC_SPECIES
La 138.91 La.upf
Bi 208.98 Bi.upf
Pb 207.20 Pb.upf
Cl 35.45 Cl.upf
ATOMIC_POSITIONS angstrom
La 0.0000 3.1138 0.0000
La 3.1138 0.0000 0.0000
Bi 0.0000 0.0000 2.6211
Pb 3.1138 3.1138 0.0000
Cl 3.1138 3.1138 2.6211
CELL_PARAMETERS angstrom
6.2277 0.0000 0.0000
0.0000 6.2277 0.0000
0.0000 0.0000 5.2422

! HgTeRh2 (GGA-PBE, relaxed); values from VASP
! - formation energy from raw total energies (eV/atom) = 0.048
! - total magnetic moment (Bohr magnetons per cell) = 0.0
! - electronic total energy (eV per atom) = -4.49
! - offset from the most stable computed form (eV per atom) = 0.021
&SYSTEM
  ibrav = 0, nat = 4, ntyp = 3
/
ATOMIC_SPECIES
Hg 200.59 Hg.upf
Te 127.60 Te.upf
Rh 102.91 Rh.upf
ATOMIC_POSITIONS angstrom
Hg 0.0000 0.0000 0.0000
Te 0.0000 0.0000 3.9555
Rh 0.0000 0.0000 13.6411
Rh 0.0000 0.0000 17.9017
CELL_PARAMETERS angstrom
1.6686 0.9634 7.8809
-1.6686 0.9634 7.8809
0.0000 -1.9267 7.8809

! HgBi2I2 (GGA-PBE, relaxed); values from VASP
! - formation energy from raw total energies (eV/atom) = 0.030
! - total magnetic moment (Bohr magnetons per cell) = 0.0
! - electronic total energy (eV per atom) = -2.20
! - offset from the most stable computed form (eV per atom) = 0.041
&SYSTEM
  ibrav = 0, nat = 5, ntyp = 3
/
ATOMIC_SPECIES
Hg 200.59 Hg.upf
Bi 208.98 Bi.upf
I 126.90 I.upf
ATOMIC_POSITIONS angstrom
Hg 0.0000 0.0000 0.0000
Bi 0.0000 0.0000 2.8380
Bi 0.0000 0.0000 7.8416
I 3.3065 0.0000 2.6699
I 0.0000 3.3065 2.6699
CELL_PARAMETERS angstrom
-3.3065 3.3065 5.3398
3.3065 -3.3065 5.3398
3.3065 3.3065 -5.3398

! CsP2O2 (GGA-PBE, relaxed); values from VASP
! - formation energy from raw total energies (eV/atom) = -0.069
! - total magnetic moment (Bohr magnetons per cell) = 0.0
! - electronic total energy (eV per atom) = -4.39
! - offset from the most stable computed form (eV per atom) = 0.000
&SYSTEM
  ibrav = 0, nat = 5, ntyp = 3
/
ATOMIC_SPECIES
Cs 132.91 Cs.upf
P 30.97 P.upf
O 16.00 O.upf
ATOMIC_POSITIONS angstrom
Cs 0.0000 0.0000 0.0000
P 1.9992 1.9992 0.0000
P 1.9992 1.9992 2.3465
O 0.0000 1.9992 2.3465
O 1.9992 0.0000 2.3465
CELL_PARAMETERS angstrom
3.9985 0.0000 0.0000
0.0000 3.9985 0.0000
0.0000 0.0000 4.6931

! PrGaPt3 (GGA-PBE, relaxed); values from VASP
! - E_form (eV per atom) = -0.60
! - total magnetic moment (Bohr magnetons per cell) = 0.0
! - electronic total energy (eV per atom) = -5.78
! - offset from the most stable computed form (eV per atom) = 0.230
&SYSTEM
  ibrav = 0, nat = 10, ntyp = 3
/
ATOMIC_SPECIES
Pr 140.91 Pr.upf
Ga 69.72 Ga.upf
Pt 195.08 Pt.upf
ATOMIC_POSITIONS angstrom
Pr 0.0000 3.1608 0.0000
Pr 3.1608 0.0000 0.0000
Ga 0.0000 0.0000 2.6523
Ga 3.1608 3.1608 2.6523
Pt 0.0000 0.0000 0.0000
Pt 0.9440 2.2168 2.6523
Pt 2.2168 5.3776 2.6523
Pt 3.1608 3.1608 0.0000
Pt 4.1048 0.9440 2.6523
Pt 5.3776 4.1048 2.6523
CELL_PARAMETERS angstrom
6.3216 0.0000 0.0000
0.0000 6.3216 0.0000
0.0000 0.0000 5.3047

! Sr2LaTc (GGA-PBE, relaxed); values from VASP
! - E_form (eV per atom) = 0.69
! - total magnetic moment (Bohr magnetons per cell) = 1.7
! - electronic total energy (eV per atom) = -3.98
! - offset from the most stable computed form (eV per atom) = 0.369
&SYSTEM
  ibrav = 0, nat = 4, ntyp = 3
/
ATOMIC_SPECIES
Sr 87.62 Sr.upf
La 138.91 La.upf
Tc 98.00 Tc.upf
ATOMIC_POSITIONS angstrom
Sr 0.0000 0.0000 1.9862
Sr 0.0000 0.0000 8.5477
La 2.5327 0.0000 5.2669
Tc 2.5327 0.0000 0.0000
CELL_PARAMETERS angstrom
2.5327 -2.5402 0.0000
2.5327 2.5402 0.0000
0.0000 0.0000 10.5338

! RbTlAg2Cl5 (GGA-PBE, relaxed); values from VASP
! - formation energy from raw total energies (eV/atom) = -0.911
! - total magnetic moment (Bohr magnetons per cell) = 0.0
! - electronic total energy (eV per atom) = -2.94
&SYSTEM
  ibrav = 0, nat = 9, ntyp = 4
/
ATOMIC_SPECIES
Rb 85.47 Rb.upf
Tl 204.38 Tl.upf
Ag 107.87 Ag.upf
Cl 35.45 Cl.upf
ATOMIC_POSITIONS angstrom
Rb 0.0000 0.0000 0.0000
Tl 0.0000 0.0000 5.2122
Ag 2.5276 2.5276 2.7225
Ag 2.5276 2.5276 7.7020
Cl 0.0000 2.5276 3.0492
Cl 0.0000 2.5276 7.3753
Cl 2.5276 0.0000 3.0492
Cl 2.5276 0.0000 7.3753
Cl 2.5276 2.5276 0.0000
CELL_PARAMETERS angstrom
5.0552 0.0000 0.0000
0.0000 5.0552 0.0000
0.0000 0.0000 10.4244

! AcTm3Ni (GGA-PBE, relaxed); values from VASP
! - E_form (eV per atom) = -0.13
! - total magnetic moment (Bohr magnetons per cell) = 0.0
! - electronic total energy (eV per atom) = -4.79
&SYSTEM
  ibrav = 0, nat = 5, ntyp = 3
/
ATOMIC_SPECIES
Ac 227.00 Ac.upf
Tm 168.93 Tm.upf
Ni 58.69 Ni.upf
ATOMIC_POSITIONS angstrom
Ac 0.0000 0.0000 0.0000
Tm 0.0000 2.6657 2.6657
Tm 2.6657 0.0000 2.6657
Tm 2.6657 2.6657 0.0000
Ni 2.6657 2.6657 2.6657
CELL_PARAMETERS angstrom
5.3314 0.0000 0.0000
0.0000 5.3314 0.0000
0.0000 0.0000 5.3314

! YHoBeGa (GGA-PBE, relaxed); values from VASP
! - E_form (eV per atom) = -0.25
! - total magnetic moment (Bohr magnetons per cell) = 0.0
! - electronic total energy (eV per atom) = -4.70
&SYSTEM
  ibrav = 0, nat = 4, ntyp = 4
/
ATOMIC_SPECIES
Y 88.91 Y.upf
Ho 164.93 Ho.upf
Be 9.01 Be.upf
Ga 69.72 Ga.upf
ATOMIC_POSITIONS angstrom
Y 0.0000 0.0000 0.0000
Ho 3.4909 3.4909 3.4909
Be 5.2364 5.2364 5.2364
Ga 1.7455 1.7455 1.7455
CELL_PARAMETERS angstrom
0.0000 3.4909 3.4909
3.4909 0.0000 3.4909
3.4909 3.4909 0.0000

! Tb2ErCd2 (GGA-PBE, relaxed); values from VASP
! - E_form (eV per atom) = -0.26
! - total magnetic moment (Bohr magnetons per cell) = 0.0
! - electronic total energy (eV per atom) = -3.39
! - offset from the most stable computed form (eV per atom) = 0.000
&SYSTEM
  ibrav = 0, nat = 10, ntyp = 3
/
ATOMIC_SPECIES
Tb 158.93 Tb.upf
Er 167.26 Er.upf
Cd 112.41 Cd.upf
ATOMIC_POSITIONS angstrom
Tb 0.0011 1.3302 1.2371
Tb -0.0033 1.3302 6.4871
Tb 1.8600 3.9907 7.2749
Tb 1.8557 3.9907 12.5248
Er 0.0005 3.9907 4.1097
Er 1.8563 1.3302 9.6522
Cd -0.0020 3.9907 9.9036
Cd -0.0027 1.3302 12.2894
Cd 1.8595 3.9907 1.4725
Cd 1.8587 1.3302 3.8583
CELL_PARAMETERS angstrom
3.7192 0.0000 0.0000
0.0000 5.3209 0.0000
-1.8624 0.0000 13.7619

! Tb2Nd2Mg (GGA-PBE, relaxed); values from VASP
! - E_form (eV per atom) = 0.35
! - total magnetic moment (Bohr magnetons per cell) = 0.0
! - electronic total energy (eV per atom) = -3.72
! - offset from the most stable computed form (eV per atom) = 0.380
&SYSTEM
  ibrav = 0, nat = 5, ntyp = 3
/
ATOMIC_SPECIES
Tb 158.93 Tb.upf
Nd 144.24 Nd.upf
Mg 24.30 Mg.upf
ATOMIC_POSITIONS angstrom
Tb 2.2165 0.0000 4.4101
Tb 0.0000 2.2165 4.4101
Nd 0.0000 0.0000 1.6261
Nd 0.0000 0.0000 16.0143
Mg 0.0000 0.0000 8.8202
CELL_PARAMETERS angstrom
-2.2165 2.2165 8.8202
2.2165 -2.2165 8.8202
2.2165 2.2165 -8.8202

no.,DOS at the Fermi energy (states/eV per atom)
1,1.1545
2,0.0888
3,0.5610
4,0.5547
5,0.3082
6,0.2712
7,1.2670
8,0.2157
9,1.5320
10,0.7841
11,0.9509
12,1.4310